VCo2PdAu: optimized geometry, PBE.

Cell: 4.1708 4.1708 4.6336 Å, 90.00 90.00 90.00°
Last column: nearest neighbours and their distance in Å.
Sites, in units of the cell vectors:
V  0.0000  0.0000  0.0000  4 Co 2.09, 2 Pd 2.32
Co  0.0000  0.5000  0.0000  2 V 2.09
Co  0.5000  0.0000  0.0000  2 V 2.09
Pd  0.0000  0.0000  0.5000  2 V 2.32
Au  0.5000  0.5000  0.5000  4 Pd 2.95, 8 Co 3.12

For the spin magnetization, the calculation gives 0.001 Bohr magnetons per cell. The value obtained for the density is 9.7 Mg/m³. The space group is P4/mmm. The value obtained for the energy of formation from the pure elements is 20.91 kcal/mol of atoms.